An optimized crystal structure of K3FeAg2Cl9, computed with PBE.

## Properties
Calculated total energy, eV per atom: -3.3916

a = 7.214 Å, b = 7.214 Å, c = 8.834 Å
α = 90.00°, β = 90.00°, γ = 120.00°
Fractional positions:
K: 0.000 0.000 0.000
K: 0.333 0.667 0.697
K: 0.667 0.333 0.303
Fe: 0.000 0.000 0.500
Ag: 0.333 0.667 0.173
Ag: 0.667 0.333 0.827
Cl: 0.000 0.500 0.000
Cl: 0.157 0.314 0.344
Cl: 0.157 0.843 0.344
Cl: 0.314 0.157 0.656
Cl: 0.500 0.000 0.000
Cl: 0.500 0.500 0.000
Cl: 0.686 0.843 0.344
Cl: 0.843 0.157 0.656
Cl: 0.843 0.686 0.656



An optimized crystal structure of K3Fe2AgCl9, computed with PBE.

## Properties
Calculated total energy, eV per atom: -3.8215

a = 7.108 Å, b = 7.108 Å, c = 8.864 Å
α = 90.00°, β = 90.00°, γ = 120.00°
Fractional positions:
K: 0.000 0.000 0.000
K: 0.333 0.667 0.671
K: 0.667 0.333 0.329
Fe: 0.333 0.667 0.167
Fe: 0.667 0.333 0.833
Ag: 0.000 0.000 0.500
Cl: 0.000 0.500 0.000
Cl: 0.173 0.346 0.315
Cl: 0.173 0.827 0.315
Cl: 0.346 0.173 0.685
Cl: 0.500 0.000 0.000
Cl: 0.500 0.500 0.000
Cl: 0.654 0.827 0.315
Cl: 0.827 0.173 0.685
Cl: 0.827 0.654 0.685